Record 1
The following is a PBE calculation of crystalline K2LiC2O6 at its relaxed geometry, from the Alexandria database.

Output
ΔE_f (raw) in eV/atom: -1.6327
Density of states at the Fermi level in states/eV per cell: 10.072

Cell lengths 9.3992, 5.3293, 6.5321 Å; angles 90.00, 117.17, 90.00 degrees
Closest atoms and distances in Å follow each position.
Space group C2/m (No. 12)
Asymmetric unit:
K 0.2097 0.0000 0.1433 (multiplicity 4)  9 O 2.81-3.14
Li 0.0000 0.0000 0.5000 (multiplicity 2)  6 O 2.20-2.31
C 0.0839 0.5000 0.2772 (multiplicity 4)  3 O 1.29
O 0.0126 0.2898 0.2696 (multiplicity 8)  1 C 1.29
O 0.2245 0.5000 0.2875 (multiplicity 4)  1 C 1.29

---

Record 2
The following is a PBE calculation of crystalline SrBeAg2 at its relaxed geometry, from the Alexandria database.

Output
DFT formation energy in eV/atom: 0.4809
Density of states at the Fermi level in states/eV per cell: 2.931

Cell lengths 5.9728, 9.2305, 3.7109 Å; angles 90.00, 118.27, 90.00 degrees
Closest atoms and distances in Å follow each position.
Space group C2/m (No. 12)
Asymmetric unit:
Sr 0.0000 0.0000 0.0000 (multiplicity 2)  4 Ag 2.89, 2 Be 2.99
Be 0.0000 0.5000 0.0000 (multiplicity 2)  4 Ag 2.89, 2 Sr 2.99
Ag 0.2500 0.2500 0.5000 (multiplicity 4)  2 Be 2.89, 2 Sr 2.89, 2 Ag 2.99

---

Record 3
The following is a PBE calculation of crystalline BaCo2Sb at its relaxed geometry, from the Alexandria database.

Output
ΔE_f (raw) in eV/atom: 0.1292
Density of states at the Fermi level in states/eV per cell: 5.117

Cell lengths 4.3430, 4.7683, 5.2451 Å; angles 90.00, 90.00, 90.00 degrees
Closest atoms and distances in Å follow each position.
Space group Pmmm (No. 47)
Asymmetric unit:
Ba 0.0000 0.0000 0.0000 (multiplicity 1)  4 Sb 3.54, 8 Co 3.58
Co 0.5000 0.2300 0.5000 (multiplicity 2)  1 Co 2.19
Sb 0.0000 0.5000 0.5000 (multiplicity 1)  4 Co 2.52

---

Record 4
The following is a PBE calculation of crystalline SmHfPd at its relaxed geometry, from the Alexandria database.

Output
DFT formation energy in eV/atom: -0.3918
Density of states at the Fermi level in states/eV per cell: 9.025

Cell lengths 3.4396, 3.4396, 11.6835 Å; angles 90.00, 90.00, 90.00 degrees
Closest atoms and distances in Å follow each position.
Space group I4mm (No. 107)
Asymmetric unit:
Sm 0.0000 0.0000 0.0000 (multiplicity 2)  4 Pd 3.24, 5 Hf 3.38-3.49, 4 Sm 3.44
Hf 0.0000 0.0000 0.7011 (multiplicity 2)  4 Pd 2.78
Pd 0.0000 0.0000 0.3167 (multiplicity 2)  4 Hf 2.78

---

Record 5
The following is a PBE calculation of crystalline In2MoIr at its relaxed geometry, from the Alexandria database.

Output
DFT formation energy in eV/atom: 0.4438
Density of states at the Fermi level in states/eV per cell: 16.032

Cell lengths 6.6346, 6.6346, 6.6346 Å; angles 90.00, 90.00, 90.00 degrees
Closest atoms and distances in Å follow each position.
Space group F-43m (No. 216)
Asymmetric unit:
In 0.0000 0.0000 0.0000 (multiplicity 4)  4 Mo 2.87, 4 In 2.87
In 0.2500 0.2500 0.2500 (multiplicity 4)  4 In 2.87, 4 Ir 2.87
Mo 0.2500 0.2500 0.7500 (multiplicity 4)  4 In 2.87, 4 Ir 2.87
Ir 0.0000 0.0000 0.5000 (multiplicity 4)  4 In 2.87, 4 Mo 2.87

---

Record 6
The following is a PBE calculation of crystalline DyCdInIr at its relaxed geometry, from the Alexandria database.

Output
DFT formation energy in eV/atom: -0.3309
Density of states at the Fermi level in states/eV per cell: 7.154

Cell lengths 6.9149, 6.9149, 6.9149 Å; angles 90.00, 90.00, 90.00 degrees
Closest atoms and distances in Å follow each position.
Space group F-43m (No. 216)
Asymmetric unit:
Dy 0.0000 0.0000 0.0000 (multiplicity 4)  4 Cd 2.99, 4 Ir 2.99
Cd 0.2500 0.2500 0.7500 (multiplicity 4)  4 In 2.99, 4 Dy 2.99
In 0.0000 0.0000 0.5000 (multiplicity 4)  4 Cd 2.99, 4 Ir 2.99
Ir 0.2500 0.2500 0.2500 (multiplicity 4)  4 In 2.99, 4 Dy 2.99

---

Record 7
The following is a PBE calculation of crystalline CoSeCl2 at its relaxed geometry, from the Alexandria database.

Output
ΔE_f (raw) in eV/atom: 0.3087
Density of states at the Fermi level in states/eV per cell: 18.214

Cell lengths 6.1152, 7.2747, 7.3724 Å; angles 90.00, 90.00, 90.00 degrees
Closest atoms and distances in Å follow each position.
Space group Fmmm (No. 69)
Asymmetric unit:
Co 0.0000 0.0000 0.0000 (multiplicity 4)  4 Cl 2.59
Se 0.0000 0.0000 0.5000 (multiplicity 4)  4 Cl 2.59
Cl 0.0000 0.2500 0.2500 (multiplicity 8)  2 Co 2.59, 2 Se 2.59

---

Record 8
The following is a PBE calculation of crystalline NaCu2Pd2 at its relaxed geometry, from the Alexandria database.

Output
DFT formation energy in eV/atom: -0.0594
Density of states at the Fermi level in states/eV per cell: 3.964

Cell lengths 7.5583, 7.5583, 2.7770 Å; angles 90.00, 90.00, 90.00 degrees
Closest atoms and distances in Å follow each position.
Space group P4/mbm (No. 127)
Asymmetric unit:
Na 0.0000 0.0000 0.0000 (multiplicity 2)  2 Na 2.78, 4 Pd 2.95
Cu 0.1616 0.3384 0.5000 (multiplicity 4)  6 Pd 2.60-2.63, 2 Cu 2.78
Pd 0.1330 0.6330 0.0000 (multiplicity 4)  6 Cu 2.60-2.63, 3 Pd 2.78-2.84

---

Record 9
The following is a PBE calculation of crystalline La4Ir2Au at its relaxed geometry, from the Alexandria database.

Output
DFT formation energy in eV/atom: -0.7183
Density of states at the Fermi level in states/eV per cell: 14.752

Cell lengths 4.2595, 4.2595, 41.3837 Å; angles 90.00, 90.00, 120.00 degrees
Closest atoms and distances in Å follow each position.
Space group R-3m (No. 166, hexagonal axes)
Asymmetric unit:
La 0.0000 0.0000 0.1231 (multiplicity 6)  3 Ir 2.86
La 0.0000 0.0000 0.2842 (multiplicity 6)  3 Ir 2.94, 3 Au 3.19
Ir 0.0000 0.0000 0.4213 (multiplicity 6)  6 La 2.86-2.94
Au 0.0000 0.0000 0.0000 (multiplicity 3)  6 La 3.19

---

Record 10
The following is a PBE calculation of crystalline LiZnSn at its relaxed geometry, from the Alexandria database.

Output
DFT formation energy in eV/atom: -0.1920
Density of states at the Fermi level in states/eV per cell: 7.485

Cell lengths 6.3008, 6.3008, 6.3008 Å; angles 90.00, 90.00, 90.00 degrees
Closest atoms and distances in Å follow each position.
Space group F-43m (No. 216)
Asymmetric unit:
Li 0.0000 0.0000 0.0000 (multiplicity 4)  4 Zn 2.73
Zn 0.2500 0.2500 0.7500 (multiplicity 4)  4 Sn 2.73, 4 Li 2.73
Sn 0.0000 0.0000 0.5000 (multiplicity 4)  4 Zn 2.73

---

Record 11
The following is a PBE calculation of crystalline V5Cr2Mo4 at its relaxed geometry, from the Alexandria database.

Output
DFT formation energy in eV/atom: -0.0562
Density of states at the Fermi level in states/eV per cell: 9.780

Cell lengths 2.6933, 6.5087, 8.9324 Å; angles 92.13, 95.75, 97.92 degrees
Closest atoms and distances in Å follow each position.
Space group P-1 (No. 2)
Asymmetric unit:
V 0.0000 0.0000 0.0000 (multiplicity 1)  2 Mo 2.57, 6 V 2.61-2.69
V 0.3566 0.2647 0.8119 (multiplicity 2)  4 V 2.51-2.69, 1 Cr 2.58, 3 Mo 2.63-2.69
V 0.4556 0.0818 0.2811 (multiplicity 2)  2 Cr 2.49-2.55, 4 V 2.51-2.69, 2 Mo 2.63-2.67
Cr 0.0914 0.8273 0.4553 (multiplicity 2)  3 V 2.49-2.58, 3 Cr 2.49-2.69, 2 Mo 2.62-2.66
Mo 0.1801 0.6418 0.9087 (multiplicity 2)  4 V 2.57-2.69, 4 Mo 2.63-2.69
Mo 0.2704 0.4531 0.3656 (multiplicity 2)  4 Mo 2.60-2.69, 2 Cr 2.62-2.66, 2 V 2.63

---

Record 12
The following is a PBE calculation of crystalline KNiGe at its relaxed geometry, from the Alexandria database.

Output
DFT formation energy in eV/atom: 0.0285
Density of states at the Fermi level in states/eV per cell: 2.728

Cell lengths 3.9950, 3.9950, 5.4837 Å; angles 90.00, 90.00, 120.00 degrees
Closest atoms and distances in Å follow each position.
Space group P-6m2 (No. 187)
Asymmetric unit:
K 0.0000 0.0000 0.0000 (multiplicity 1)  6 Ge 3.58, 6 Ni 3.58, 6 K 4.00
Ni 0.3333 0.6667 0.5000 (multiplicity 1)  3 Ge 2.31
Ge 0.6667 0.3333 0.5000 (multiplicity 1)  3 Ni 2.31

---

Record 13
The following is a PBE calculation of crystalline Ca2Zn3GaPt4 at its relaxed geometry, from the Alexandria database.

Output
DFT formation energy in eV/atom: -0.7371
Density of states at the Fermi level in states/eV per cell: 4.986

Cell lengths 4.1750, 4.1750, 10.8897 Å; angles 90.00, 90.00, 90.00 degrees
Closest atoms and distances in Å follow each position.
Space group P-4m2 (No. 115)
Asymmetric unit:
Ca 0.0000 0.5000 0.2400 (multiplicity 2)  6 Zn 3.16-3.52, 8 Pt 3.25-3.34, 2 Ga 3.52
Zn 0.0000 0.5000 0.8647 (multiplicity 2)  5 Pt 2.49-2.56
Zn 0.5000 0.5000 0.5000 (multiplicity 1)  4 Pt 2.56
Ga 0.0000 0.0000 0.5000 (multiplicity 1)  4 Pt 2.56
Pt 0.0000 0.0000 0.0000 (multiplicity 1)  4 Zn 2.56
Pt 0.0000 0.5000 0.6359 (multiplicity 2)  3 Zn 2.49-2.56, 2 Ga 2.56
Pt 0.5000 0.5000 0.0000 (multiplicity 1)  4 Zn 2.56